1.
The following is a DFT calculation (GGA-PBE) of an optimized crystal structure of Se2BrCl.

V: 32.08 Å³/atom
total DFT energy (no corrections): -20.24 eV for the cell shown

abc: 3.4862 7.9122 9.3043
angles: 90.00 90.00 90.00
With the nearest neighbours (Å) after each atom.
Space group Imm2 (No. 44)
Unique sites:
Se: 0.0000 0.0000 0.0000 (multiplicity 2)  2 Se 2.44
Se: 0.0000 0.5000 0.3172 (multiplicity 2)  2 Se 2.44, 2 Cl 2.70
Br: 0.0000 0.5000 0.7408 (multiplicity 2)  2 Se 2.84
Cl: 0.0000 0.0000 0.5960 (multiplicity 2)  2 Se 2.70



2.
The following is a DFT calculation (GGA-PBE) of an optimized crystal structure of Se4BrCl.

V: 26.87 Å³/atom
total DFT energy (no corrections): -17.70 eV for the cell shown
relative energy among the computed polymorphs: 0 meV per atom

abc: 5.6910 3.6464 7.8962
angles: 90.00 100.27 90.00
With the nearest neighbours (Å) after each atom.
Space group P2/m (No. 10)
Unique sites:
Se: 0.1076 0.0000 0.3224 (multiplicity 2)  2 Se 2.47
Se: 0.1393 0.5000 0.8264 (multiplicity 2)  2 Se 2.47
Br: 0.5000 0.5000 0.5000 (multiplicity 1)  4 Se 3.03
Cl: 0.5000 0.0000 0.0000 (multiplicity 1)  4 Se 2.90



3.
The following is a DFT calculation (GGA-PBE) of an optimized crystal structure of SeBrCl.

V: 39.26 Å³/atom
total DFT energy (no corrections): -7.31 eV for the cell shown
relative energy among the computed polymorphs: 75 meV per atom

abc: 4.6928 5.0711 5.1380
angles: 87.67 76.97 81.37
With the nearest neighbours (Å) after each atom.
Space group P1 (No. 1)
Unique sites:
Se: 0.0000 0.0000 0.0000 (multiplicity 1)  1 Cl 2.20, 1 Br 2.44
Br: 0.8313 0.4798 0.0358 (multiplicity 1)  1 Se 2.44
Cl: 0.1631 0.9756 0.5645 (multiplicity 1)  1 Se 2.20



4.
The following is a DFT calculation (GGA-PBE) of an optimized crystal structure of Se4BrCl.

V: 23.61 Å³/atom
total DFT energy (no corrections): -59.19 eV for the cell shown
relative energy among the computed polymorphs: 484 meV per atom

abc: 8.2756 8.2756 8.2756
angles: 90.00 90.00 90.00
With the nearest neighbours (Å) after each atom.
Space group F-43m (No. 216)
Unique sites:
Se: 0.1106 0.1106 0.1106 (multiplicity 16)  3 Se 2.59
Br: 0.2500 0.2500 0.7500 (multiplicity 4)  12 Se 3.40, 4 Cl 3.58
Cl: 0.0000 0.0000 0.5000 (multiplicity 4)  12 Se 3.47, 4 Br 3.58



5.
The following is a DFT calculation (GGA-PBE) of an optimized crystal structure of Se2BrCl.

V: 34.37 Å³/atom
total DFT energy (no corrections): -19.92 eV for the cell shown

abc: 3.8171 9.0736 7.9383
angles: 90.00 90.00 90.00
With the nearest neighbours (Å) after each atom.
Space group Cmm2 (No. 35)
Unique sites:
Se: 0.0000 0.0000 0.0000 (multiplicity 2)  2 Se 2.50, 2 Cl 2.68
Se: 0.0000 0.5000 0.2042 (multiplicity 2)  2 Se 2.50, 2 Br 2.78
Br: 0.0000 0.0000 0.4584 (multiplicity 2)  2 Se 2.78, 2 Cl 3.07
Cl: 0.0000 0.5000 0.7621 (multiplicity 2)  2 Se 2.68



6.
The following is a DFT calculation (GGA-PBE) of an optimized crystal structure of SeBr2Cl.

V: 23.18 Å³/atom
total DFT energy (no corrections): -5.98 eV for the cell shown
relative energy among the computed polymorphs: 734 meV per atom

abc: 5.0700 5.0700 3.6071
angles: 90.00 90.00 90.00
With the nearest neighbours (Å) after each atom.
Space group P4/mmm (No. 123)
Unique sites:
Se: 0.0000 0.0000 0.0000 (multiplicity 1)  8 Br 3.11
Br: 0.0000 0.5000 0.5000 (multiplicity 2)  4 Cl 3.11, 4 Se 3.11
Cl: 0.5000 0.5000 0.0000 (multiplicity 1)  8 Br 3.11



7.
The following is a DFT calculation (GGA-PBE) of an optimized crystal structure of Se2BrCl2.

V: 31.95 Å³/atom
total DFT energy (no corrections): -12.72 eV for the cell shown

abc: 4.7378 5.6279 6.4464
angles: 84.82 70.15 81.58
With the nearest neighbours (Å) after each atom.
Space group P-1 (No. 2)
Unique sites:
Se: 0.2376 0.3621 0.4354 (multiplicity 2)  1 Cl 2.24, 1 Se 2.47
Br: 0.5000 0.5000 0.0000 (multiplicity 1)  2 Se 2.75
Cl: 0.1474 0.1110 0.7347 (multiplicity 2)  1 Se 2.24



8.
The following is a DFT calculation (GGA-PBE) of an optimized crystal structure of Se3Br2Cl.

V: 36.39 Å³/atom
total DFT energy (no corrections): -61.94 eV for the cell shown

abc: 18.7367 8.7099 5.3512
angles: 90.00 90.00 90.00
With the nearest neighbours (Å) after each atom.
Space group Cmc2_1 (No. 36)
Unique sites:
Se: 0.0000 0.0022 0.0000 (multiplicity 4)  1 Cl 2.17
Se: 0.2452 0.4944 0.4911 (multiplicity 8)  2 Br 2.53-2.73, 2 Se 2.68
Br: 0.1713 0.2516 0.4913 (multiplicity 8)  2 Se 2.53-2.73
Cl: 0.0000 0.2508 0.0003 (multiplicity 4)  1 Se 2.17



9.
The following is a DFT calculation (GGA-PBE) of an optimized crystal structure of SeBrCl2.

V: 26.91 Å³/atom
total DFT energy (no corrections): -23.16 eV for the cell shown
relative energy among the computed polymorphs: 473 meV per atom

abc: 4.1663 4.1663 21.4783
angles: 90.00 90.00 120.00
With the nearest neighbours (Å) after each atom.
Space group R3m (No. 160, hexagonal axes)
Unique sites:
Se: 0.0000 0.0000 0.0000 (multiplicity 3)  3 Cl 2.74, 3 Br 2.75
Br: 0.0000 0.0000 0.7288 (multiplicity 3)  3 Se 2.75, 3 Cl 2.97
Cl: 0.0000 0.0000 0.2726 (multiplicity 3)  3 Se 2.74
Cl: 0.0000 0.0000 0.4764 (multiplicity 3)  3 Br 2.97



10.
The following is a DFT calculation (GGA-PBE) of an optimized crystal structure of SeBrCl2.

V: 22.53 Å³/atom
total DFT energy (no corrections): -23.80 eV for the cell shown
relative energy among the computed polymorphs: 915 meV per atom

abc: 7.1169 7.1169 7.1169
angles: 90.00 90.00 90.00
With the nearest neighbours (Å) after each atom.
Space group Fm-3m (No. 225)
Unique sites:
Se: 0.0000 0.0000 0.0000 (multiplicity 4)  8 Cl 3.08
Br: 0.0000 0.0000 0.5000 (multiplicity 4)  8 Cl 3.08
Cl: 0.2500 0.2500 0.2500 (multiplicity 8)  4 Se 3.08, 4 Br 3.08



11.
The following is a DFT calculation (GGA-PBE) of an optimized crystal structure of SeBrCl2.

V: 21.57 Å³/atom
total DFT energy (no corrections): -12.23 eV for the cell shown
relative energy among the computed polymorphs: 874 meV per atom

abc: 4.5143 4.5143 8.4689
angles: 90.00 90.00 90.00
With the nearest neighbours (Å) after each atom.
Space group I4/mmm (No. 139)
Unique sites:
Se: 0.0000 0.0000 0.0000 (multiplicity 2)  8 Cl 3.09, 4 Br 3.19
Br: 0.0000 0.0000 0.5000 (multiplicity 2)  8 Cl 3.09, 4 Se 3.19
Cl: 0.0000 0.5000 0.2500 (multiplicity 4)  4 Br 3.09, 4 Se 3.09, 4 Cl 3.19



12.
The following is a DFT calculation (GGA-PBE) of an optimized crystal structure of Se2BrCl.

V: 32.70 Å³/atom
total DFT energy (no corrections): -10.22 eV for the cell shown

abc: 4.2155 4.2155 7.3604
angles: 90.00 90.00 90.00
With the nearest neighbours (Å) after each atom.
Space group P4mm (No. 99)
Unique sites:
Se: 0.0000 0.0000 0.0000 (multiplicity 1)  1 Br 2.33
Se: 0.5000 0.5000 0.0112 (multiplicity 1)  1 Cl 2.18
Br: 0.0000 0.0000 0.3167 (multiplicity 1)  1 Se 2.33
Cl: 0.5000 0.5000 0.7145 (multiplicity 1)  1 Se 2.18



13.
The following is a DFT calculation (GGA-PBE) of an optimized crystal structure of SeBrCl.

V: 39.66 Å³/atom
total DFT energy (no corrections): -14.60 eV for the cell shown
relative energy among the computed polymorphs: 78 meV per atom

abc: 5.0385 6.0989 7.9164
angles: 100.63 93.61 93.56
With the nearest neighbours (Å) after each atom.
Space group P1 (No. 1)
Unique sites:
Se: 0.0000 0.0000 0.0000 (multiplicity 1)  1 Br 2.33
Se: 0.4738 0.7817 0.3857 (multiplicity 1)  2 Cl 2.19-2.25
Br: 0.5158 0.0777 0.0887 (multiplicity 1)  2 Se 2.63-2.64
Br: 0.9936 0.2128 0.7841 (multiplicity 1)  1 Se 2.33
Cl: 0.0396 0.7042 0.2990 (multiplicity 1)  1 Se 2.25
Cl: 0.4972 0.5876 0.5918 (multiplicity 1)  1 Se 2.19



14.
The following is a DFT calculation (GGA-PBE) of an optimized crystal structure of SeBrCl2.

V: 27.70 Å³/atom
total DFT energy (no corrections): -14.89 eV for the cell shown
relative energy among the computed polymorphs: 542 meV per atom

abc: 7.6537 7.6877 3.7673
angles: 90.00 91.01 90.00
With the nearest neighbours (Å) after each atom.
Space group C2/m (No. 12)
Unique sites:
Se: 0.0000 0.0000 0.0000 (multiplicity 2)  4 Cl 2.71
Br: 0.0000 0.5000 0.0000 (multiplicity 2)  4 Cl 2.71
Cl: 0.2500 0.2500 0.0000 (multiplicity 4)  2 Se 2.71, 2 Br 2.71



15.
The following is a DFT calculation (GGA-PBE) of an optimized crystal structure of SeBrCl.

V: 30.83 Å³/atom
total DFT energy (no corrections): -6.09 eV for the cell shown
relative energy among the computed polymorphs: 482 meV per atom

abc: 4.3424 4.3424 5.6635
angles: 90.00 90.00 120.00
With the nearest neighbours (Å) after each atom.
Space group P3m1 (No. 156)
Unique sites:
Se: 0.0000 0.0000 0.0000 (multiplicity 1)  3 Br 2.76, 3 Cl 2.82
Br: 0.6667 0.3333 0.2033 (multiplicity 1)  3 Se 2.76
Cl: 0.3333 0.6667 0.7712 (multiplicity 1)  3 Se 2.82



16.
The following is a DFT calculation (GGA-PBE) of an optimized crystal structure of SeBrCl2.

V: 31.67 Å³/atom
total DFT energy (no corrections): -8.54 eV for the cell shown
relative energy among the computed polymorphs: 268 meV per atom

abc: 4.5260 3.3080 8.5416
angles: 90.00 97.82 90.00
With the nearest neighbours (Å) after each atom.
Space group P2/m (No. 10)
Unique sites:
Se: 0.0000 0.0000 0.0000 (multiplicity 1)  4 Cl 2.43
Br: 0.5000 0.0000 0.5000 (multiplicity 1)  2 Br 3.31
Cl: 0.1735 0.5000 0.8252 (multiplicity 2)  2 Se 2.43



17.
The following is a DFT calculation (GGA-PBE) of an optimized crystal structure of SeBr2Cl.

V: 51.36 Å³/atom
total DFT energy (no corrections): -30.18 eV for the cell shown
relative energy among the computed polymorphs: 343 meV per atom

abc: 8.2972 8.2972 11.9361
angles: 90.00 90.00 90.00
With the nearest neighbours (Å) after each atom.
Space group I4_1/amd (No. 141, origin choice 2)
Unique sites:
Se: 0.0000 0.2500 0.3750 (multiplicity 4)  4 Br 2.56
Br: 0.0000 0.0000 0.5000 (multiplicity 8)  2 Se 2.56
Cl: 0.0000 0.2500 0.8750 (multiplicity 4)  12 Br 4.87-4.93, 4 Cl 5.11, 4 Se 5.11



18.
The following is a DFT calculation (GGA-PBE) of an optimized crystal structure of SeBr2Cl.

V: 33.16 Å³/atom
total DFT energy (no corrections): -16.35 eV for the cell shown
relative energy among the computed polymorphs: 185 meV per atom

abc: 3.3784 7.6925 10.2073
angles: 90.00 90.00 90.00
With the nearest neighbours (Å) after each atom.
Space group Cmm2 (No. 35)
Unique sites:
Se: 0.0000 0.0000 0.0000 (multiplicity 2)  2 Cl 2.46, 2 Br 2.56
Br: 0.0000 0.0000 0.5108 (multiplicity 2)  4 Br 3.38-3.50
Br: 0.0000 0.5000 0.8115 (multiplicity 2)  2 Se 2.56
Cl: 0.0000 0.5000 0.1756 (multiplicity 2)  2 Se 2.46



19.
The following is a DFT calculation (GGA-PBE) of an optimized crystal structure of SeBrCl2.

V: 34.32 Å³/atom
total DFT energy (no corrections): -16.45 eV for the cell shown
relative energy among the computed polymorphs: 346 meV per atom

abc: 3.8054 9.0046 8.0132
angles: 90.00 90.00 90.00
With the nearest neighbours (Å) after each atom.
Space group Cmm2 (No. 35)
Unique sites:
Se: 0.0000 0.0000 0.0000 (multiplicity 2)  2 Cl 2.53, 2 Br 2.60
Br: 0.0000 0.5000 0.7793 (multiplicity 2)  2 Se 2.60, 2 Cl 2.82
Cl: 0.0000 0.0000 0.5187 (multiplicity 2)  2 Br 2.82, 2 Cl 3.13
Cl: 0.0000 0.5000 0.2083 (multiplicity 2)  2 Se 2.53



20.
The following is a DFT calculation (GGA-PBE) of an optimized crystal structure of SeBrCl.

V: 40.96 Å³/atom
total DFT energy (no corrections): -14.72 eV for the cell shown
relative energy among the computed polymorphs: 60 meV per atom

abc: 5.1335 6.6249 7.4810
angles: 83.98 84.99 76.78
With the nearest neighbours (Å) after each atom.
Space group P-1 (No. 2)
Unique sites:
Se: 0.0610 0.4161 0.1622 (multiplicity 2)  1 Cl 2.18
Br: 0.3942 0.1495 0.3211 (multiplicity 2)  1 Se 2.45
Cl: 0.1940 0.6944 0.2121 (multiplicity 2)  1 Se 2.18